# RbNaRu2O8 GGA-PBE relaxed
data_RbNaRu2O8
_symmetry_space_group_name_H-M 'C 1 2/m 1'
_symmetry_Int_Tables_number 12
_symmetry_space_group_name_Hall '-C 2y'
_cell_length_a 10.6079
_cell_length_b 6.0492
_cell_length_c 7.4475
_cell_angle_alpha 90.00
_cell_angle_beta 114.33
_cell_angle_gamma 90.00
loop_
_atom_site_label
_atom_site_type_symbol
_atom_site_fract_x
_atom_site_fract_y
_atom_site_fract_z
_atom_site_occupancy
Rb1 Rb 0.0000 0.0000 0.0000 1
Na1 Na 0.0000 0.5000 0.5000 1
Ru1 Ru 0.2182 0.0000 0.6739 1
O1 O 0.1012 0.5000 0.2413 1
O2 O 0.1462 0.0000 0.4163 1
O3 O 0.1601 0.2369 0.7530 1
# Spin magnetization = 0.17 μB/atom
# Formation energy from raw total energies = -1062.8 meV/atom
# Fermi-level density of states = 7.63 states/eV/f.u.